Ce3ErIn12: relaxed, PBE.

**Space-group type**: P4/mmm (123)
**DFT formation energy**: -38.95 kJ per mole of atoms
**Calculated volume**: 25.707 A^3/atom
**E**: -3.86 eV/atom
**DOS(E_F)**: 20.80 states/eV/cell

Structure (CIF):
```
data_Ce3ErIn12
_chemical_formula_sum 'Ce3 Er1 In12'
_symmetry_space_group_name_H-M 'P 1'
_symmetry_Int_Tables_number 1
_cell_length_a 4.679
_cell_length_b 4.679
_cell_length_c 18.787
_cell_angle_alpha 90.00
_cell_angle_beta 90.00
_cell_angle_gamma 90.00
loop_
_symmetry_equiv_pos_as_xyz
'x,y,z'
loop_
_atom_site_label
_atom_site_type_symbol
_atom_site_fract_x
_atom_site_fract_y
_atom_site_fract_z
Ce1 Ce 0.000 0.000 0.247
Ce2 Ce 0.000 0.000 0.500
Ce3 Ce 0.000 0.000 0.753
Er1 Er 0.000 0.000 0.000
In1 In 0.500 0.500 0.000
In2 In 0.500 0.500 0.249
In3 In 0.500 0.500 0.500
In4 In 0.500 0.500 0.751
In5 In 0.500 0.000 0.122
In6 In 0.500 0.000 0.374
In7 In 0.500 0.000 0.626
In8 In 0.500 0.000 0.878
In9 In 0.000 0.500 0.122
In10 In 0.000 0.500 0.374
In11 In 0.000 0.500 0.626
In12 In 0.000 0.500 0.878
```